An optimized crystal structure of Rb3Ac2HfSe6. Source: the Alexandria database, functional PBE.

Computed properties:
- Total magnetic moment: 0.00 Bohr magnetons per cell
- ΔE_f (raw): -1.56 eV/atom

Cell: 7.594 13.151 8.433 Å, 90.00 107.65 90.00°
Space group C2/m (No. 12)
Symmetry-distinct sites (fractional):
Rb 0.000 0.000 0.000 (multiplicity 2)
Rb 0.000 0.328 0.000 (multiplicity 4)
Ac 0.000 0.166 0.500 (multiplicity 4)
Hf 0.000 0.500 0.500 (multiplicity 2)
Se 0.216 0.351 0.700 (multiplicity 8)
Se 0.229 0.500 0.299 (multiplicity 4)